The following is a DFT calculation (PBE with a Hubbard U) of a geometry-optimized In2W2O7 structure. Values from VASP.

Symmetry ... No. 227
Electronic total energy ... -6.612 eV/atom
M_tot ... 4.92 μB/cell

The structure in Quantum ESPRESSO input format:
```
&SYSTEM
  ibrav = 0, nat = 22, ntyp = 3
/
ATOMIC_SPECIES
W 183.84 W.upf
In 114.82 In.upf
O 16.00 O.upf
CELL_PARAMETERS angstrom
-1.6931 6.4580 -3.3247
-7.1173 2.1634 -0.5388
-2.4674 5.7497 4.0593
ATOMIC_POSITIONS crystal
W 0.6250 0.1250 0.1250
In 0.6250 0.6250 0.1250
O 0.1983 0.8017 0.8017
In 0.6250 0.6250 0.6250
O 0.8017 0.1983 0.1983
W 0.1250 0.1250 0.1250
O 0.5000 0.5000 0.5000
In 0.6250 0.1250 0.6250
O 0.1983 0.8017 0.1983
O 0.4483 0.0517 0.4483
O 0.0517 0.0517 0.4483
O 0.4483 0.4483 0.0517
O 0.8017 0.1983 0.8017
O 0.0517 0.4483 0.0517
In 0.1250 0.6250 0.6250
O 0.4483 0.0517 0.0517
W 0.1250 0.6250 0.1250
W 0.1250 0.1250 0.6250
O 0.1983 0.1983 0.8017
O 0.7500 0.7500 0.7500
O 0.8017 0.8017 0.1983
O 0.0517 0.4483 0.4483
```